1.
A relaxed Dy12Zn6Rh crystal. Source: Alexandria, functional PBE-GGA.

Properties
Density of states at the Fermi level ... 18.91 states/eV/f.u.
Total DFT energy (no corrections) ... -3.85 eV/atom
Total magnetic moment ... 0.00 μB per cell
Crystal system ... trigonal

a b c (Å): 7.9954 7.9954 7.9954
angles (deg): 93.29 93.29 93.29
Last column: nearest neighbours and their distance in Å.
Atoms (fractional coordinates):
Dy 0.1010 0.3210 0.9654  1 Rh 2.68
Dy 0.0346 0.8990 0.6790  1 Rh 2.68
Dy 0.9654 0.1010 0.3210  1 Rh 2.68
Dy 0.4517 0.8012 0.5668  4 Zn 3.00-3.13
Dy 0.8990 0.6790 0.0346  1 Rh 2.68
Dy 0.4332 0.5483 0.1988  4 Zn 3.00-3.13
Dy 0.5668 0.4517 0.8012  4 Zn 3.00-3.13
Dy 0.8012 0.5668 0.4517  4 Zn 3.00-3.13
Dy 0.1988 0.4332 0.5483  4 Zn 3.00-3.13
Dy 0.6790 0.0346 0.8990  1 Rh 2.68
Dy 0.5483 0.1988 0.4332  4 Zn 3.00-3.13
Dy 0.3210 0.9654 0.1010  1 Rh 2.68
Zn 0.3433 0.1383 0.7356  8 Dy 3.00-3.31
Zn 0.8617 0.2644 0.6567  8 Dy 3.00-3.31
Zn 0.1383 0.7356 0.3433  8 Dy 3.00-3.31
Zn 0.6567 0.8617 0.2644  8 Dy 3.00-3.31
Zn 0.7356 0.3433 0.1383  8 Dy 3.00-3.31
Zn 0.2644 0.6567 0.8617  8 Dy 3.00-3.31
Rh 0.0000 0.0000 0.0000  6 Dy 2.68

***

2.
A relaxed SmDy2ErN4 crystal. Source: Alexandria, functional PBE-GGA.

Properties
E_form (uncorrected) ... -13.25 eV per formula unit
Density of states at the Fermi level ... 0.22 states/eV/f.u.
Total DFT energy (no corrections) ... -8.13 eV/atom
Total magnetic moment ... 0.00 μB per cell
Crystal system ... monoclinic

a b c (Å): 3.4928 6.0484 6.0474
angles (deg): 109.44 90.00 90.00
Last column: nearest neighbours and their distance in Å.
Atoms (fractional coordinates):
N 0.5000 0.2459 0.2506  3 Dy 2.45-2.48, 2 Er 2.46, 1 Sm 2.49
N 0.0000 0.2443 0.7461  3 Dy 2.45-2.48, 1 Er 2.46, 2 Sm 2.49
N 0.5000 0.7541 0.7494  3 Dy 2.45-2.48, 2 Er 2.46, 1 Sm 2.49
N 0.0000 0.7557 0.2539  3 Dy 2.45-2.48, 1 Er 2.46, 2 Sm 2.49
Dy 0.5000 0.0000 0.5000  6 N 2.45
Dy 0.0000 0.5000 0.5000  6 N 2.48
Er 0.0000 0.0000 0.0000  6 N 2.46
Sm 0.5000 0.5000 0.0000  6 N 2.49

***

3.
A relaxed Sc8NiSn2 crystal. Source: Alexandria, functional PBE-GGA.

Properties
Density of states at the Fermi level ... 14.67 states/eV/f.u.
Total DFT energy (no corrections) ... -6.20 eV/atom
Total magnetic moment ... 0.00 μB per cell
Crystal system ... monoclinic

a b c (Å): 4.9149 6.2475 8.9747
angles (deg): 110.93 105.89 90.00
Last column: nearest neighbours and their distance in Å.
Atoms (fractional coordinates):
Sc 0.3590 0.0394 0.7180  1 Ni 2.54
Sc 0.2108 0.2924 0.4215  3 Sn 2.97-3.18, 3 Sc 3.15-3.22
Sc 0.5903 0.4302 0.1806  1 Ni 2.56
Sc 0.4097 0.5698 0.8194  1 Ni 2.56
Sc 0.7892 0.7076 0.5785  3 Sn 2.97-3.18, 3 Sc 3.15-3.22
Sc 0.9899 0.2224 0.9798  2 Ni 2.86, 3 Sc 2.93-3.01, 1 Sn 2.98
Sc 0.0101 0.7776 0.0202  2 Ni 2.86, 3 Sc 2.93-3.01, 1 Sn 2.98
Sc 0.6410 0.9606 0.2820  1 Ni 2.54
Sn 0.1742 0.7208 0.3483  9 Sc 2.97-3.18
Sn 0.8258 0.2792 0.6517  9 Sc 2.97-3.18
Ni 0.5000 0.0000 0.0000  4 Sc 2.54-2.56

***

4.
A relaxed Sr2Mg3GaSn4 crystal. Source: Alexandria, functional PBE-GGA.

Properties
Density of states at the Fermi level ... 1.28 states/eV/f.u.
Total DFT energy (no corrections) ... -3.09 eV/atom
Total magnetic moment ... 0.00 μB per cell
Crystal system ... tetragonal

a b c (Å): 4.8623 4.8623 11.9133
angles (deg): 90.00 90.00 90.00
Last column: nearest neighbours and their distance in Å.
Atoms (fractional coordinates):
Mg 0.0000 0.0000 0.5000  4 Sn 2.89
Mg 0.5000 0.0000 0.8639  5 Sn 2.77-2.92
Mg 0.0000 0.5000 0.1361  5 Sn 2.77-2.92
Sn 0.0000 0.0000 0.0000  4 Mg 2.92
Sn 0.5000 0.5000 0.0000  4 Mg 2.92
Sn 0.0000 0.5000 0.3689  3 Mg 2.77-2.89, 2 Ga 2.89
Sn 0.5000 0.0000 0.6311  3 Mg 2.77-2.89, 2 Ga 2.89
Sr 0.0000 0.5000 0.7486  6 Mg 3.70-3.83, 8 Sn 3.71-3.86, 2 Ga 3.83
Sr 0.5000 0.0000 0.2514  6 Mg 3.70-3.83, 8 Sn 3.71-3.86, 2 Ga 3.83
Ga 0.5000 0.5000 0.5000  4 Sn 2.89

***

5.
A relaxed Si2SCl crystal. Source: Alexandria, functional PBE-GGA.

Properties
E_form (uncorrected) ... 1.14 eV per formula unit
Density of states at the Fermi level ... 2.04 states/eV/f.u.
Total DFT energy (no corrections) ... -3.92 eV/atom
Total magnetic moment ... 0.00 μB per cell
Polymorph energy (0 for the lowest one) ... 0.000 eV/atom
Crystal system ... tetragonal

a b c (Å): 7.1036 7.1036 5.9294
angles (deg): 53.20 53.20 90.00
Last column: nearest neighbours and their distance in Å.
Atoms (fractional coordinates):
Si 0.1593 0.6250 0.2500  2 S 2.47
Si 0.5907 0.1250 0.2500  2 S 2.47
Si 0.3750 0.4093 0.7500  2 S 2.47
Si 0.8750 0.8407 0.7500  2 S 2.47
Cl 0.7500 0.2500 0.5000  4 Si 2.80
Cl 0.0000 0.0000 0.0000  4 Si 2.80
S 0.2500 0.7500 0.5000  4 Si 2.47
S 0.5000 0.5000 0.0000  4 Si 2.47

***

6.
A relaxed LiCrPt crystal. Source: Alexandria, functional PBE-GGA.

Properties
Density of states at the Fermi level ... 3.24 states/eV/f.u.
Total DFT energy (no corrections) ... -6.03 eV/atom
Total magnetic moment ... 0.00 μB per cell
Polymorph energy (0 for the lowest one) ... 0.067 eV/atom
Crystal system ... hexagonal

a b c (Å): 4.0691 4.0691 5.4306
angles (deg): 90.00 90.00 120.00
Last column: nearest neighbours and their distance in Å.
Atoms (fractional coordinates):
Li 0.6667 0.3333 0.0000  3 Li 2.35
Li 0.3333 0.6667 0.0000  3 Li 2.35
Pt 0.0000 0.0000 0.7468  2 Pt 2.68-2.75, 6 Cr 2.70, 6 Li 2.72
Pt 0.0000 0.0000 0.2532  2 Pt 2.68-2.75, 6 Cr 2.70, 6 Li 2.72
Cr 0.6667 0.3333 0.5000  3 Cr 2.35
Cr 0.3333 0.6667 0.5000  3 Cr 2.35

***

7.
A relaxed Er2Th3Sc3 crystal. Source: Alexandria, functional PBE-GGA.

Properties
Density of states at the Fermi level ... 10.76 states/eV/f.u.
Total DFT energy (no corrections) ... -6.26 eV/atom
Total magnetic moment ... 0.00 μB per cell
Polymorph energy (0 for the lowest one) ... 0.000 eV/atom
Crystal system ... orthorhombic

a b c (Å): 4.7191 4.9341 10.5086
angles (deg): 103.58 102.98 90.00
Last column: nearest neighbours and their distance in Å.
Atoms (fractional coordinates):
Sc 0.0000 0.5000 0.0000  8 Th 3.40-3.41, 4 Sc 3.48
Sc 0.8766 0.8766 0.7531  6 Th 3.40-3.41, 4 Er 3.43-3.55, 2 Sc 3.48
Sc 0.1234 0.1234 0.2469  6 Th 3.40-3.41, 4 Er 3.43-3.55, 2 Sc 3.48
Er 0.2515 0.7515 0.5031  4 Er 3.41, 4 Sc 3.43-3.55, 4 Th 3.47-3.50
Er 0.7485 0.2485 0.4969  4 Er 3.41, 4 Sc 3.43-3.55, 4 Th 3.47-3.50
Th 0.3767 0.3767 0.7534  6 Sc 3.40-3.41, 4 Er 3.47-3.50, 2 Th 3.48
Th 0.6233 0.6233 0.2466  6 Sc 3.40-3.41, 4 Er 3.47-3.50, 2 Th 3.48
Th 0.5000 0.0000 0.0000  8 Sc 3.40-3.41, 4 Th 3.48